VASP calculation (PBE) on crystalline Sc5Te2C at its relaxed geometry.

As for the uncorrected formation energy: -3.72 eV per formula unit. The calculation puts the energy relative to the lowest polymorph listed for this composition at 281 meV per atom. Its magnetic moment is 3.220 μB per cell. The symmetry is No. 63.

POSCAR file:
```
Sc5Te2C
1.0
-2.360 3.434 -1.355
-4.053 -3.200 6.033
6.091 7.336 7.982
Sc Te C
10 4 2
Direct
0.302 0.605 0.076
0.698 0.395 0.924
0.743 0.485 0.250
0.887 0.774 0.625
0.887 0.774 0.875
0.113 0.226 0.125
0.698 0.395 0.576
0.257 0.515 0.750
0.302 0.605 0.424
0.113 0.226 0.375
0.919 0.837 0.112
0.919 0.837 0.388
0.081 0.163 0.612
0.081 0.163 0.888
0.217 0.435 0.250
0.783 0.565 0.750
```

VASP calculation (PBE) on crystalline ScTe2C at its relaxed geometry.

As for the uncorrected formation energy: 2.47 eV per formula unit. Its magnetic moment is 0.000 μB per cell. The symmetry is No. 122.

POSCAR file:
```
ScTe2C
1.0
-1.851 5.219 -3.146
0.126 -3.254 -5.473
-5.620 -0.308 -3.652
Te C Sc
4 2 2
Direct
0.195 0.625 0.250
0.375 0.445 0.750
0.875 0.805 0.750
0.555 0.125 0.250
0.500 0.500 0.000
0.250 0.750 0.500
0.750 0.250 0.500
0.000 0.000 0.000
```

VASP calculation (PBE) on crystalline Sc2TeC at its relaxed geometry.

As for the uncorrected formation energy: 1.05 eV per formula unit. Its magnetic moment is 0.000 μB per cell. The symmetry is No. 166.

POSCAR file:
```
Sc2TeC
1.0
-6.086 2.834 2.838
-7.045 -1.389 1.248
-4.916 -0.881 5.309
Te C Sc
1 1 2
Direct
0.500 0.500 0.500
0.000 0.000 0.000
0.907 0.907 0.907
0.093 0.093 0.093
```

VASP calculation (PBE) on crystalline Sc5Te2C at its relaxed geometry.

As for the uncorrected formation energy: -5.98 eV per formula unit. The calculation puts the energy relative to the lowest polymorph listed for this composition at 0 meV per atom. Its magnetic moment is 0.000 μB per cell. The symmetry is No. 55.

POSCAR file:
```
Sc5Te2C
1.0
8.537 0.000 0.000
0.000 7.284 0.000
0.000 0.000 10.889
Sc Te C
20 8 4
Direct
0.089 0.250 0.805
0.500 0.750 0.000
0.411 0.750 0.305
0.089 0.750 0.805
0.165 0.500 0.046
0.911 0.250 0.195
0.411 0.250 0.305
0.589 0.250 0.695
0.000 0.250 0.500
0.335 0.500 0.546
0.835 0.000 0.954
0.835 0.500 0.954
0.665 0.500 0.454
0.335 0.000 0.546
0.500 0.250 0.000
0.911 0.750 0.195
0.165 0.000 0.046
0.665 0.000 0.454
0.000 0.750 0.500
0.589 0.750 0.695
0.362 0.000 0.817
0.138 0.000 0.317
0.862 0.000 0.683
0.862 0.500 0.683
0.638 0.500 0.183
0.638 0.000 0.183
0.138 0.500 0.317
0.362 0.500 0.817
0.500 0.250 0.500
0.000 0.750 0.000
0.000 0.250 0.000
0.500 0.750 0.500
```

VASP calculation (PBE) on crystalline ScTe2C at its relaxed geometry.

As for the uncorrected formation energy: 2.65 eV per formula unit. Its magnetic moment is 1.639 μB per cell. The symmetry is No. 166.

POSCAR file:
```
ScTe2C
1.0
2.498 -7.240 1.067
1.677 -6.879 -3.109
5.345 -5.378 -1.516
Te Sc C
2 1 1
Direct
0.906 0.906 0.906
0.094 0.094 0.094
0.500 0.500 0.500
0.000 0.000 0.000
```

VASP calculation (PBE) on crystalline ScTeC3 at its relaxed geometry.

As for the uncorrected formation energy: 11.82 eV per formula unit. The calculation puts the energy relative to the lowest polymorph listed for this composition at 196 meV per atom. Its magnetic moment is 0.000 μB per cell. The symmetry is No. 221.

POSCAR file:
```
ScTeC3
1.0
4.302 0.000 0.000
0.000 4.302 0.000
0.000 0.000 4.302
C Te Sc
3 1 1
Direct
0.500 0.000 0.000
0.000 0.500 0.000
0.000 0.000 0.500
0.500 0.500 0.500
0.000 0.000 0.000
```